[1]
Computed, not measured: an optimized crystal structure of Er4TlPbO at the PBE level of DFT.

a b c (Å): 6.437 6.422 9.004
angles (deg): 90.00 110.94 90.00
Element x y z (fractional)
Er1 0.068 0.750 0.137
O1 0.726 0.250 0.452
Tl1 0.113 0.250 0.226
Tl2 0.887 0.750 0.774
Er2 0.000 0.500 0.500
Er3 0.000 0.000 0.500
Er4 0.500 0.500 0.500
Er5 0.500 0.000 0.500
Er6 0.416 0.750 0.833
Er7 0.932 0.250 0.863
Pb1 0.391 0.250 0.783
Pb2 0.609 0.750 0.217
Er8 0.584 0.250 0.167
O2 0.274 0.750 0.548

Results
space-group type	Cmcm (63)
density	10.48	g/cm³
formation energy (no corrections)	-1.103	eV per atom
Fermi-level density of states	7.954	states/eV per cell

=====

[2]
Computed, not measured: an optimized crystal structure of KRb5F6 at the PBE level of DFT.

a b c (Å): 6.954 6.956 6.951
angles (deg): 59.97 80.36 70.44
Element x y z (fractional)
K1 0.000 0.000 0.000
Rb1 0.500 0.166 0.667
F1 0.246 0.593 0.325
F2 0.754 0.082 0.325
F3 0.244 0.243 0.000
Rb2 0.000 0.333 0.333
F4 0.246 0.918 0.675
F5 0.754 0.407 0.675
Rb3 0.500 0.500 0.000
Rb4 0.000 0.667 0.667
Rb5 0.500 0.834 0.333
F6 0.756 0.757 0.000

Results
space-group type	C2/m (12)
density	3.51	g/cm³
formation energy (no corrections)	-2.674	eV per atom
Fermi-level density of states	0.000	states/eV per cell

=====

[3]
Computed, not measured: an optimized crystal structure of TbZrIn2 at the PBE level of DFT.

a b c (Å): 3.819 3.819 6.720
angles (deg): 90.00 90.00 90.00
Element x y z (fractional)
Zr1 0.500 0.500 0.000
In1 0.000 0.000 0.232
Tb1 0.500 0.500 0.500
In2 0.000 0.000 0.768

Results
formation enthalpy at 0 K	-0.31	eV/atom
space-group type	P4/mmm (123)
density	8.13	g/cm³
Fermi-level density of states	3.709	states/eV per cell

=====

[4]
Computed, not measured: an optimized crystal structure of NbNiB at the PBE level of DFT.

a b c (Å): 4.277 7.030 4.752
angles (deg): 90.00 90.00 90.00
Element x y z (fractional)
B1 0.201 0.500 0.255
Ni1 0.000 0.000 0.443
Nb1 0.500 0.734 0.505
Nb2 0.000 0.234 0.005
Nb3 0.500 0.266 0.505
Ni2 0.500 0.500 0.943
Nb4 0.000 0.766 0.005
Ni3 0.000 0.500 0.633
B2 0.799 0.500 0.255
B3 0.299 0.000 0.755
Ni4 0.500 0.000 0.133
B4 0.701 0.000 0.755

Results
formation enthalpy at 0 K	-0.31	eV/atom
space-group type	Imm2 (44)
density	7.55	g/cm³
Fermi-level density of states	4.144	states/eV per cell

=====

[5]
Computed, not measured: an optimized crystal structure of BaMnNi at the PBE level of DFT.

a b c (Å): 5.108 5.108 5.108
angles (deg): 60.00 60.00 60.00
Element x y z (fractional)
Ni1 0.500 0.500 0.500
Ba1 0.750 0.750 0.750
Mn1 0.000 0.000 0.000

Results
formation enthalpy at 0 K	1.30	eV/atom
ΔE to the lowest computed polymorph	0.955	eV/atom
space-group type	F-43m (216)
density	4.42	g/cm³
Fermi-level density of states	1.968	states/eV per cell

=====

[6]
Computed, not measured: an optimized crystal structure of PmPrCdAg at the PBE level of DFT.

a b c (Å): 3.815 3.815 7.576
angles (deg): 90.00 90.00 90.00
Element x y z (fractional)
Pr1 0.500 0.500 0.113
Pm1 0.500 0.500 0.599
Cd1 0.000 0.000 0.850
Ag1 0.000 0.000 0.366

Results
formation enthalpy at 0 K	-0.29	eV/atom
ΔE to the lowest computed polymorph	0.000	eV/atom
space-group type	P4mm (99)
density	7.62	g/cm³
Fermi-level density of states	3.751	states/eV per cell

=====

| no. | spin magnetization (Bohr magnetons per cell) |
| --- | --- |
| 1 | 0.00 |
| 2 | 0.50 |
| 3 | 0.00 |
| 4 | 0.00 |
| 5 | 5.00 |
| 6 | 0.39 |